(1)
DFT (PBE) results for an optimized crystal structure of GdHoTm2Cd2.

Summary:
magnetic moment = 0.008 μB/atom
crystal system = orthorhombic
formation energy from the elements = -1.3 eV/f.u.

POSCAR file:
```
GdHoTm2Cd2
1.0
5.380 0.000 0.000
0.000 3.610 0.000
0.000 0.000 16.988
Gd Ho Tm Cd
2 2 4 4
direct
0.000 0.000 0.000 Gd
0.000 0.500 0.500 Gd
0.500 0.000 0.820 Ho
0.500 0.500 0.320 Ho
0.000 0.000 0.685 Tm
0.000 0.500 0.185 Tm
0.500 0.000 0.135 Tm
0.500 0.500 0.635 Tm
0.000 0.000 0.341 Cd
0.000 0.500 0.841 Cd
0.500 0.000 0.477 Cd
0.500 0.500 0.977 Cd
```

(2)
DFT (PBE) results for an optimized crystal structure of SmYGa2.

Summary:
magnetic moment = 0.002 μB/atom
crystal system = orthorhombic
uncorrected energy = -74.1 eV per cell

POSCAR file:
```
SmYGa2
1.0
4.149 0.000 0.000
0.000 23.166 0.000
0.000 0.000 4.219
Sm Y Ga
4 4 8
direct
0.000 0.092 0.000 Sm
0.000 0.908 0.000 Sm
0.500 0.408 0.000 Sm
0.500 0.592 0.000 Sm
0.000 0.319 0.500 Y
0.000 0.681 0.500 Y
0.500 0.181 0.500 Y
0.500 0.819 0.500 Y
0.000 0.000 0.500 Ga
0.000 0.217 0.000 Ga
0.000 0.500 0.000 Ga
0.000 0.783 0.000 Ga
0.500 0.000 0.000 Ga
0.500 0.283 0.000 Ga
0.500 0.500 0.500 Ga
0.500 0.717 0.000 Ga
```